No. 1
Here is a geometry-optimized MgFeP2 structure from Alexandria via LeMat-Bulk. Energies are from PBE.

Summary:
**M_tot**: 0.000 μB per atom
**Energy of formation from the pure elements**: 0.399 eV/atom

The structure in POSCAR format:
```
MgFeP2
1.0
4.215 0.000 0.000
2.108 3.650 0.000
2.108 1.217 3.442
P Fe Mg
2 1 1
Direct
0.000 0.000 0.000 P
0.250 0.250 0.250 P
0.500 0.500 0.500 Fe
0.750 0.750 0.750 Mg
```



No. 2
Here is a geometry-optimized MgFeP structure from Alexandria via LeMat-Bulk. Energies are from PBE.

Summary:
**M_tot**: 0.221 μB per atom
**Energy of formation from the pure elements**: -0.293 eV/atom

The structure in POSCAR format:
```
MgFeP
1.0
5.128 0.005 -0.006
4.273 2.836 -0.009
0.856 0.262 2.819
P Mg Fe
1 1 1
Direct
0.369 0.369 0.631 P
0.667 0.667 0.333 Mg
0.965 0.965 0.035 Fe
```



No. 3
Here is a geometry-optimized Mg2FeP2 structure from Alexandria via LeMat-Bulk. Energies are from PBE.

Summary:
**M_tot**: 0.000 μB per atom
**Energy of formation from the pure elements**: -0.403 eV/atom

The structure in POSCAR format:
```
Mg2FeP2
1.0
-2.626 -4.992 1.350
4.283 -2.948 -2.570
2.177 -0.125 3.772
Mg P Fe
4 4 2
Direct
0.185 0.685 0.500 Mg
0.315 0.185 0.500 Mg
0.815 0.315 0.500 Mg
0.685 0.815 0.500 Mg
0.862 0.638 0.000 P
0.362 0.862 0.000 P
0.138 0.362 0.000 P
0.638 0.138 0.000 P
0.500 0.500 0.000 Fe
0.000 0.000 0.000 Fe
```



The highest M_tot belongs to which entry?
MgFeP



What is the energy of formation from the pure elements in the second record?
-0.293 eV/atom